1.
GGA-PBEsol LaCr2As, relaxed; crystal system = monoclinic; energy relative to the elements = 0.0764 eV/atom; space-group type = C2/m, No. 12; total magnetic moment = 0.00 μB/atom
1.0
-0.825 0.488 -3.140
0.288 -4.463 0.947
-5.004 1.083 1.483
As Cr La
1 2 1
Direct
0.500 0.000 0.000 As
0.765 0.530 0.870 Cr
0.235 0.470 0.130 Cr
0.000 0.000 0.500 La

2.
GGA-PBEsol LaCrAs2, relaxed; crystal system = tetragonal; energy relative to the elements = -0.3388 eV/atom; offset from the most stable computed form = 157.8 meV per atom; space-group type = P4/mmm, No. 123; total magnetic moment = 1.07 μB/atom
1.0
3.838 0.000 0.000
0.000 4.689 0.000
0.000 0.000 4.689
As Cr La
2 1 1
Direct
0.000 0.000 0.500 As
0.000 0.500 0.000 As
0.500 0.500 0.500 Cr
0.500 0.000 0.000 La

3.
GGA-PBEsol La2TaCrAs, relaxed; crystal system = tetragonal; energy relative to the elements = 0.6870 eV/atom; space-group type = P4/mmm, No. 123; total magnetic moment = 1.03 μB/atom
1.0
-1.444 4.446 -1.408
-3.586 -2.295 -3.569
-3.912 -0.021 3.944
Cr As La Ta
1 1 2 1
Direct
0.500 0.500 0.500 Cr
0.500 0.000 0.000 As
0.000 0.000 0.500 La
0.000 0.500 0.000 La
0.000 0.000 0.000 Ta

4.
GGA-PBEsol LaZnCr2As, relaxed; crystal system = tetragonal; energy relative to the elements = 1.7971 eV/atom; space-group type = P4/mmm, No. 123; total magnetic moment = 1.52 μB/atom
1.0
-4.638 1.674 0.611
-0.345 -2.514 4.272
1.918 4.329 2.702
Cr As Zn La
2 1 1 1
Direct
0.000 0.500 0.000 Cr
0.500 0.000 0.000 Cr
0.000 0.000 0.500 As
0.500 0.500 0.500 Zn
0.000 0.000 0.000 La

5.
GGA-PBEsol LiCr2As2, relaxed; crystal system = tetragonal; energy relative to the elements = -0.1424 eV/atom; space-group type = I4/mmm, No. 139; total magnetic moment = 0.00 μB/atom
1.0
-0.584 2.334 2.467
-3.396 -0.396 -0.430
1.975 -5.939 3.680
Cr As Li
2 2 1
Direct
0.250 0.750 0.500 Cr
0.750 0.250 0.500 Cr
0.376 0.376 0.751 As
0.624 0.624 0.249 As
0.000 0.000 0.000 Li

6.
GGA-PBEsol LiCrAs2, relaxed; crystal system = trigonal; energy relative to the elements = -0.2850 eV/atom; offset from the most stable computed form = 0.0 meV per atom; space-group type = R-3m, No. 166; total magnetic moment = 0.00 μB/atom
1.0
3.082 0.000 0.000
1.541 2.669 0.000
1.541 0.890 7.464
Cr As Li
1 2 1
Direct
0.500 0.500 0.500 Cr
0.240 0.240 0.280 As
0.760 0.760 0.720 As
0.000 0.000 0.000 Li

7.
GGA-PBEsol LiCrAs2, relaxed; crystal system = cubic; energy relative to the elements = 0.2486 eV/atom; offset from the most stable computed form = 533.6 meV per atom; space-group type = F-43m, No. 216; total magnetic moment = 0.81 μB/atom
1.0
-0.844 4.224 1.174
-3.893 1.048 1.919
-0.128 1.134 4.316
As Cr Li
2 1 1
Direct
0.000 0.000 0.000 As
0.750 0.750 0.750 As
0.500 0.500 0.500 Cr
0.250 0.250 0.250 Li

8.
GGA-PBEsol Li2CrAs, relaxed; crystal system = tetragonal; energy relative to the elements = 0.1166 eV/atom; space-group type = P4/mmm, No. 123; total magnetic moment = 0.89 μB/atom
1.0
3.458 0.000 0.000
0.000 3.458 0.000
0.000 0.000 5.077
Cr As Li
1 1 2
Direct
0.500 0.500 0.500 Cr
0.500 0.500 0.000 As
0.000 0.000 0.767 Li
0.000 0.000 0.233 Li

9.
GGA-PBEsol Li2CrAs, relaxed; crystal system = tetragonal; energy relative to the elements = -0.1388 eV/atom; space-group type = P4/mmm, No. 123; total magnetic moment = 0.82 μB/atom
1.0
-1.012 3.406 0.887
-1.036 0.594 -3.462
-3.879 -1.393 0.921
Cr As Li
1 1 2
Direct
0.000 0.000 0.500 Cr
0.500 0.500 0.500 As
0.000 0.500 0.000 Li
0.500 0.000 0.000 Li

10.
GGA-PBEsol Li2CrAs, relaxed; crystal system = monoclinic; energy relative to the elements = 0.0992 eV/atom; space-group type = C2/m, No. 12; total magnetic moment = 0.01 μB/atom
1.0
2.638 0.030 0.000
-0.974 4.405 0.000
-0.832 -2.217 4.556
Cr As Li
1 1 2
Direct
0.000 0.500 0.000 Cr
0.500 0.000 0.000 As
0.000 0.000 0.500 Li
0.500 0.500 0.500 Li

11.
GGA-PBEsol LiCrAs2, relaxed; crystal system = trigonal; energy relative to the elements = 0.2927 eV/atom; offset from the most stable computed form = 577.7 meV per atom; space-group type = R3m, No. 160; total magnetic moment = 0.16 μB/atom
1.0
2.784 0.000 0.000
1.392 2.411 0.000
1.392 0.804 9.819
As Cr Li
2 1 1
Direct
0.985 0.985 0.045 As
0.770 0.770 0.690 As
0.500 0.500 0.500 Cr
0.245 0.245 0.264 Li

12.
GGA-PBEsol Li3Cr2As3O12, relaxed; crystal system = cubic; ΔE_f (raw) = -1.645 eV per atom; space-group type = Ia-3d, No. 230; total magnetic moment = 0.30 μB/atom
1.0
-9.141 3.539 -3.254
5.825 -2.500 -8.154
-1.444 -8.359 5.891
Li Cr As O
12 8 12 48
Direct
0.250 0.625 0.375 Li
0.125 0.375 0.750 Li
0.625 0.875 0.750 Li
0.750 0.875 0.125 Li
0.125 0.750 0.875 Li
0.625 0.750 0.375 Li
0.875 0.250 0.125 Li
0.375 0.250 0.625 Li
0.250 0.125 0.875 Li
0.375 0.125 0.250 Li
0.875 0.625 0.250 Li
0.750 0.375 0.625 Li
0.500 0.500 0.500 Cr
0.000 0.000 0.000 Cr
0.500 0.000 0.500 Cr
0.500 0.500 0.000 Cr
0.500 0.000 0.000 Cr
0.000 0.000 0.500 Cr
0.000 0.500 0.000 Cr
0.000 0.500 0.500 Cr
0.125 0.250 0.375 As
0.375 0.625 0.750 As
0.125 0.875 0.250 As
0.250 0.875 0.625 As
0.250 0.375 0.125 As
0.375 0.750 0.125 As
0.625 0.250 0.875 As
0.750 0.125 0.375 As
0.750 0.625 0.875 As
0.875 0.125 0.750 As
0.625 0.375 0.250 As
0.875 0.750 0.625 As
0.100 0.415 0.119 O
0.119 0.204 0.519 O
0.085 0.400 0.381 O
0.085 0.685 0.204 O
0.415 0.619 0.600 O
0.019 0.119 0.704 O
0.381 0.481 0.796 O
0.796 0.815 0.915 O
0.296 0.381 0.981 O
0.400 0.881 0.585 O
0.100 0.685 0.481 O
0.315 0.019 0.400 O
0.881 0.085 0.900 O
0.185 0.585 0.704 O
0.519 0.815 0.900 O
0.519 0.704 0.119 O
0.981 0.100 0.185 O
0.585 0.204 0.685 O
0.315 0.296 0.415 O
0.619 0.100 0.915 O
0.185 0.600 0.981 O
0.296 0.915 0.815 O
0.400 0.519 0.315 O
0.204 0.019 0.619 O
0.704 0.085 0.185 O
0.600 0.481 0.685 O
0.796 0.981 0.381 O
0.815 0.400 0.019 O
0.381 0.900 0.085 O
0.685 0.704 0.585 O
0.415 0.796 0.315 O
0.019 0.900 0.815 O
0.481 0.296 0.881 O
0.481 0.185 0.100 O
0.119 0.915 0.100 O
0.685 0.981 0.600 O
0.815 0.415 0.296 O
0.900 0.315 0.519 O
0.600 0.119 0.415 O
0.704 0.619 0.019 O
0.204 0.185 0.085 O
0.619 0.519 0.204 O
0.915 0.315 0.796 O
0.585 0.381 0.400 O
0.981 0.881 0.296 O
0.915 0.600 0.619 O
0.881 0.796 0.481 O
0.900 0.585 0.881 O

Q: Which value of total magnetic moment does entry 1 give?
A: 0.00 μB/atom

Q: total magnetic moment of number 7 (LiCrAs2)?
A: 0.81 μB/atom

Q: Which value of total magnetic moment does entry 2 give?
A: 1.07 μB/atom